# 1
Here is a geometry-optimized Na4PuZn3O8 structure from the Alexandria database. Energies are from PBE.

a b c (Å): 6.3822 6.3822 16.4183
angles (deg): 90.00 90.00 120.00
Last column: nearest neighbours and their distance in Å.
Space group R-3m (No. 166, hexagonal axes)
Unique sites:
Na  0.0000  0.0000  0.0000 x3  6 O 2.49
Na  0.0000  0.5000  0.0000 x9  6 O 2.35-2.57
Pu  0.0000  0.0000  0.5000 x3  6 O 2.10
Zn  0.0000  0.5000  0.5000 x9  6 O 2.07-2.26
O  0.0000  0.0000  0.2244 x6  3 Zn 2.07
O  0.0232  0.5116  0.2403 x18  1 Pu 2.10, 2 Zn 2.26, 2 Na 2.35

As for the density of states at the Fermi level: 25.02 states/eV/cell. The value obtained for the uncorrected energy is -5.695 eV/atom. The calculation puts the total magnetization at 2.0 μB per formula unit.

# 2
Here is a geometry-optimized Pr3Nd4Ho4 structure from the Alexandria database. Energies are from PBE.

a b c (Å): 3.6350 9.5213 22.2574
angles (deg): 90.00 90.00 90.00
Last column: nearest neighbours and their distance in Å.
Space group Immm (No. 71)
Unique sites:
Pr  0.0000  0.0000  0.0000 x2  4 Ho 3.53, 2 Pr 3.63
Pr  0.0000  0.5000  0.1085 x4  6 Ho 3.46-3.48, 2 Pr 3.63, 4 Nd 3.66
Nd  0.0000  0.3221  0.3535 x8  3 Nd 3.39-3.63, 4 Ho 3.52-3.72, 2 Pr 3.66
Ho  0.0000  0.0000  0.2590 x4  2 Pr 3.46, 6 Nd 3.53-3.72, 2 Ho 3.63
Ho  0.0000  0.1818  0.5000 x4  3 Ho 3.46-3.63, 6 Pr 3.48-3.53, 2 Nd 3.52

As for the density of states at the Fermi level: 30.97 states/eV/cell. The calculation puts the total magnetization at 0.0 μB per formula unit. The calculation puts the excess energy over the best structure of this formula in the dataset at 0 meV per atom.

# 3
Here is a geometry-optimized Na2Ca3 structure from the Alexandria database. Energies are from PBE.

a b c (Å): 5.6999 12.5447 11.1820
angles (deg): 90.00 90.00 90.00
Last column: nearest neighbours and their distance in Å.
Space group Cmce (No. 64)
Unique sites:
Na  0.0000  0.0888  0.1720 x8  2 Na 3.34, 5 Ca 3.54-3.62
Ca  0.0000  0.0000  0.5000 x4  6 Na 3.61-3.83, 6 Ca 4.01-4.05
Ca  0.0000  0.1965  0.8778 x8  5 Na 3.54-3.96

As for the density of states at the Fermi level: 19.12 states/eV/cell. The calculation puts the total magnetization at 0.0 μB per formula unit. The calculation puts the excess energy over the best structure of this formula in the dataset at 82 meV per atom.

# 4
Here is a geometry-optimized AlCr3Ni structure from the Alexandria database. Energies are from PBE.

a b c (Å): 4.4788 4.4788 4.4788
angles (deg): 90.00 90.00 90.00
Last column: nearest neighbours and their distance in Å.
Space group Pm-3m (No. 221)
Unique sites:
Al  0.0000  0.0000  0.0000 x1  12 Cr 3.17
Cr  0.0000  0.5000  0.5000 x3  2 Ni 2.24
Ni  0.5000  0.5000  0.5000 x1  6 Cr 2.24

As for the density of states at the Fermi level: 8.79 states/eV/cell. The calculation puts the total magnetization at 10.8 μB per formula unit. The calculation puts the excess energy over the best structure of this formula in the dataset at 0 meV per atom.

# 5
Here is a geometry-optimized Ca4PtPb3 structure from the Alexandria database. Energies are from PBE.

a b c (Å): 3.5597 3.5597 17.5647
angles (deg): 90.00 90.00 90.00
Last column: nearest neighbours and their distance in Å.
Space group P4/mmm (No. 123)
Unique sites:
Ca  0.0000  0.0000  0.0974 x2  4 Pt 3.04
Ca  0.0000  0.0000  0.3678 x2  8 Pb 3.42-3.43, 4 Ca 3.56
Pt  0.5000  0.5000  0.0000 x1  8 Ca 3.04
Pb  0.5000  0.5000  0.2351 x2  8 Ca 3.43-3.49, 4 Pb 3.56
Pb  0.5000  0.5000  0.5000 x1  8 Ca 3.42, 4 Pb 3.56

As for the density of states at the Fermi level: 4.55 states/eV/cell. The value obtained for the uncorrected energy is -3.761 eV/atom. The calculation puts the total magnetization at 0.0 μB per formula unit.

# 6
Here is a geometry-optimized Ac4Te3As structure from the Alexandria database. Energies are from PBE.

a b c (Å): 9.4701 13.2754 4.6510
angles (deg): 90.00 90.00 90.00
Last column: nearest neighbours and their distance in Å.
Space group Cmmm (No. 65)
Unique sites:
Ac  0.0000  0.2376  0.0000 x4  1 As 3.15, 5 Te 3.32-3.48
Ac  0.2280  0.0000  0.5000 x4  2 As 3.17, 4 Te 3.33-3.47
Te  0.0000  0.5000  0.0000 x2  6 Ac 3.47-3.48
Te  0.2500  0.2500  0.5000 x4  6 Ac 3.32-3.33
As  0.0000  0.0000  0.0000 x2  6 Ac 3.15-3.17

As for the density of states at the Fermi level: 8.33 states/eV/cell. The value obtained for the uncorrected energy is -5.341 eV/atom. The calculation puts the total magnetization at 0.0 μB per formula unit.